1.
Here is a relaxed Hf3Np3NbN8 crystal from Alexandria. Energies are from PBE.

CIF file:
```
data_Hf3Np3NbN8
_cell_length_a 6.4437
_cell_length_b 6.4441
_cell_length_c 6.6481
_cell_angle_alpha 118.99
_cell_angle_beta 90.00
_cell_angle_gamma 120.00
_symmetry_space_group_name_H-M 'P 1'
_symmetry_Int_Tables_number 1
_symmetry_space_group_name_Hall 'P 1'
loop_
_atom_site_label
_atom_site_type_symbol
_atom_site_fract_x
_atom_site_fract_y
_atom_site_fract_z
Hf1 Hf 0.5000 0.0000 0.5000
Hf2 Hf 0.5000 0.5000 0.5000
Hf3 Hf 0.0000 0.5000 0.5000
Np1 Np 0.0000 0.0000 0.0000
Np2 Np 0.0000 0.5000 0.0000
Np3 Np 0.5000 0.5000 0.0000
Nb1 Nb 0.0000 0.0000 0.5000
N1 N 0.2591 0.5183 0.2775
N2 N 0.7409 0.4817 0.7225
N3 N 0.7622 0.5244 0.2732
N4 N 0.2378 0.4756 0.7268
N5 N 0.7622 0.0110 0.2732
N6 N 0.2378 0.9890 0.7268
N7 N 0.2488 0.0110 0.2732
N8 N 0.7512 0.9890 0.7268
```

Space-group type: R-3m
Formation energy (no corrections): -1.357 eV/atom
Energy: -11.0469 eV per atom
M_tot: 0.568 μB/atom

***

2.
Here is a relaxed CoHgTe2 crystal from Alexandria. Energies are from PBE.

CIF file:
```
data_CoHgTe2
_cell_length_a 3.1312
_cell_length_b 3.1312
_cell_length_c 9.6866
_cell_angle_alpha 90.00
_cell_angle_beta 90.00
_cell_angle_gamma 90.02
_symmetry_space_group_name_H-M 'P 1'
_symmetry_Int_Tables_number 1
_symmetry_space_group_name_Hall 'P 1'
loop_
_atom_site_label
_atom_site_type_symbol
_atom_site_fract_x
_atom_site_fract_y
_atom_site_fract_z
Co1 Co 0.0000 0.0000 0.4808
Hg1 Hg 0.5000 0.5000 0.6876
Te1 Te 0.0000 0.0000 0.9890
Te2 Te 0.5000 0.5000 0.3427
```

Space-group type: P4mm
Formation energy (no corrections): 0.204 eV/atom
Energy: -3.2185 eV per atom
M_tot: 0.000 μB/atom

***

3.
Here is a relaxed PmNdN crystal from Alexandria. Energies are from PBE.

CIF file:
```
data_PmNdN
_cell_length_a 3.6191
_cell_length_b 3.6191
_cell_length_c 6.3980
_cell_angle_alpha 90.00
_cell_angle_beta 90.00
_cell_angle_gamma 120.00
_symmetry_space_group_name_H-M 'P 1'
_symmetry_Int_Tables_number 1
_symmetry_space_group_name_Hall 'P 1'
loop_
_atom_site_label
_atom_site_type_symbol
_atom_site_fract_x
_atom_site_fract_y
_atom_site_fract_z
N1 N 0.6667 0.3333 0.3373
Nd1 Nd 0.0000 0.0000 0.1160
Pm1 Pm 0.3333 0.6667 0.5466
```

Space-group type: P3m1
Formation energy (no corrections): -0.874 eV/atom
Energy: -6.8221 eV per atom
M_tot: 0.001 μB/atom

***

4.
Here is a relaxed LaTlZnPd crystal from Alexandria. Energies are from PBE.

CIF file:
```
data_LaTlZnPd
_cell_length_a 5.0207
_cell_length_b 5.0207
_cell_length_c 5.0207
_cell_angle_alpha 60.00
_cell_angle_beta 60.00
_cell_angle_gamma 60.00
_symmetry_space_group_name_H-M 'P 1'
_symmetry_Int_Tables_number 1
_symmetry_space_group_name_Hall 'P 1'
loop_
_atom_site_label
_atom_site_type_symbol
_atom_site_fract_x
_atom_site_fract_y
_atom_site_fract_z
Tl1 Tl 0.0000 0.0000 0.0000
Zn1 Zn 0.7500 0.7500 0.7500
Pd1 Pd 0.2500 0.2500 0.2500
La1 La 0.5000 0.5000 0.5000
```

Space-group type: F-43m
Energy: -3.8846 eV per atom
M_tot: 0.000 μB/atom
ΔE_f: -0.4445 eV/atom

***

> Which value of M_tot does entry 1 give?

0.568 μB/atom